# 1
The following is a PBE calculation of a relaxed structure of Pm2InGe3Ir4, from Alexandria.

Lattice parameters (Å, degrees): 4.250 4.250 10.667 90.00 90.00 90.00
Space group P-4m2 (No. 115)
Symmetry-distinct sites (fractional):
1 Pm 0.000 0.500 0.243 x2
2 In 0.000 0.000 0.500 x1
3 Ge 0.000 0.500 0.874 x2
4 Ge 0.500 0.500 0.500 x1
5 Ir 0.000 0.000 0.000 x1
6 Ir 0.000 0.500 0.647 x2
7 Ir 0.500 0.500 0.000 x1

Calculated values
Energy of formation   -645 kJ/mol of formula units
E_tot   -6.822 eV per atom
Theoretical density   12.00 g/cm3

---

# 2
The following is a PBE calculation of a relaxed structure of PIrF2, from Alexandria.

Lattice parameters (Å, degrees): 5.874 5.874 5.874 90.00 90.00 90.00
Space group Fm-3m (No. 225)
Symmetry-distinct sites (fractional):
1 P 0.000 0.000 0.000 x4
2 Ir 0.000 0.000 0.500 x4
3 F 0.250 0.250 0.250 x8

Calculated values
E_tot   -4.072 eV per atom
ΔE to the lowest computed polymorph   1.116 eV/atom
Theoretical density   8.56 g/cm3
Formation energy (no corrections)   432 meV per atom

---

# 3
The following is a PBE calculation of a relaxed structure of PmB6Ru12, from Alexandria.

Lattice parameters (Å, degrees): 10.1227 10.1227 8.1483 90.00 90.00 120.00
Space group R-3m (No. 166, hexagonal axes)
Symmetry-distinct sites (fractional):
1 Pm 0.0000 0.0000 0.0000 x3
2 B 0.0318 0.5159 0.2797 x18
3 Ru 0.0000 0.3682 0.5000 x18
4 Ru 0.0895 0.1790 0.3634 x18

Calculated values
Energy of formation   -420 kJ/mol of formula units
E_tot   -8.446 eV per atom
Theoretical density   9.80 g/cm3